LaMgFeN2: optimized geometry, GGA-PBE.

Lattice parameters (Å, degrees): 4.1622 7.2088 4.1622 90.00 90.00 90.00
Closest atoms and distances in Å follow each position.
Fractional positions:
La 0.0000 0.0000 0.0000  4 N 2.08
N 0.5000 0.0000 0.0000  2 La 2.08
Mg 0.0000 0.5000 0.0000  4 Fe 2.94
N 0.0000 0.0000 0.5000  2 La 2.08
Fe 0.5000 0.5000 0.5000  4 Mg 2.94

Output
symmetry: No. 123
crystal system: tetragonal
formation energy without anion corrections: 8.281 eV per formula unit
D(E_F): 8.0 states/eV per cell
M_tot: 0.2 μB/cell
final energy: -4.671 eV per atom